[1]
First-principles (GGA-PBE) data for a relaxed PmNd2Th4 crystal, as listed in Alexandria.

Cell and atoms, written as POSCAR:
```
PmNd2Th4
1.0
3.566 0.000 -0.471
0.000 3.595 0.000
0.613 0.000 18.396
Th Pm Nd
4 1 2
Cartesian
2.443 0.000 4.762 Th
0.343 1.798 2.600 Th
3.836 1.798 15.326 Th
1.737 0.000 13.163 Th
1.783 0.000 -0.235 Pm
0.986 1.798 7.475 Nd
3.193 1.798 10.451 Nd
```

Values from the calculation:
Raw total energy ... -43.42 eV per cell
DFT formation energy ... 77.8 meV per atom
Magnetic moment ... 0.000 μB/cell

---

[2]
First-principles (GGA-PBE) data for a relaxed PmNdTh crystal, as listed in Alexandria.

Cell and atoms, written as POSCAR:
```
PmNdTh
1.0
-0.073 2.307 -2.651
-5.353 -1.735 -1.361
0.770 4.340 3.754
Pm Nd Th
1 1 1
Cartesian
-0.012 0.385 -0.443 Pm
-3.361 1.827 -1.423 Nd
-1.284 2.699 1.608 Th
```

Values from the calculation:
Raw total energy ... -16.55 eV per cell
DFT formation energy ... 130.6 meV per atom
Magnetic moment ... 0.000 μB/cell
Energy above the lowest structure with this stoichiometry ... 0.32 eV/f.u.

---

[3]
First-principles (GGA-PBE) data for a relaxed Pm2Nd5Th2 crystal, as listed in Alexandria.

Cell and atoms, written as POSCAR:
```
Pm2Nd5Th2
1.0
6.234 -1.118 0.355
-4.591 8.313 -5.375
0.236 -1.900 7.914
Nd Th Pm
5 2 2
Cartesian
0.128 5.984 -1.888 Nd
0.186 2.067 3.082 Nd
1.692 3.228 -0.189 Nd
0.000 0.000 0.000 Nd
1.750 -0.689 4.782 Nd
4.670 1.689 -1.446 Th
-2.792 3.605 4.340 Th
-1.347 4.827 1.222 Pm
3.225 0.467 1.672 Pm
```

Values from the calculation:
Raw total energy ... -47.70 eV per cell
DFT formation energy ... 53.6 meV per atom
Magnetic moment ... 0.000 μB/cell

---

[4]
First-principles (GGA-PBE) data for a relaxed Pm2Nd4Th3 crystal, as listed in Alexandria.

Cell and atoms, written as POSCAR:
```
Pm2Nd4Th3
1.0
-2.653 2.224 -1.016
1.614 -2.115 -2.437
-18.349 -19.652 4.899
Th Nd Pm
3 4 2
Cartesian
-13.222 -12.066 1.712 Th
-18.047 -19.329 4.818 Th
-5.910 -6.330 1.578 Th
-9.139 -7.692 0.621 Nd
-13.983 -14.976 3.733 Nd
-10.005 -10.716 2.671 Nd
-5.183 -3.456 -0.435 Nd
-2.868 -0.976 -1.053 Pm
-17.286 -16.418 2.797 Pm
```

Values from the calculation:
Raw total energy ... -50.06 eV per cell
DFT formation energy ... 85.6 meV per atom
Magnetic moment ... 0.000 μB/cell
Energy above the lowest structure with this stoichiometry ... 0.00 eV/f.u.

---

[5]
First-principles (GGA-PBE) data for a relaxed PmNd2Th crystal, as listed in Alexandria.

Cell and atoms, written as POSCAR:
```
PmNd2Th
1.0
-0.484 5.732 -0.641
-4.789 2.256 -2.340
-3.707 2.978 3.300
Nd Pm Th
2 1 1
Cartesian
-2.245 2.741 0.080 Nd
-6.735 8.224 0.239 Nd
-4.490 5.483 0.159 Pm
0.000 0.000 0.000 Th
```

Values from the calculation:
Raw total energy ... -20.92 eV per cell
DFT formation energy ... 196.0 meV per atom
Magnetic moment ... 0.004 μB/cell
Energy above the lowest structure with this stoichiometry ... 0.68 eV/f.u.

---

[6]
First-principles (GGA-PBE) data for a relaxed Pm3Nd3Th2 crystal, as listed in Alexandria.

Cell and atoms, written as POSCAR:
```
Pm3Nd3Th2
1.0
-3.706 3.010 -4.117
-5.721 0.839 2.514
-2.587 8.331 1.944
Pm Th Nd
3 2 3
Cartesian
-7.023 4.012 1.170 Pm
-4.713 1.924 -0.801 Pm
-4.991 8.169 -0.828 Pm
-8.362 7.057 -0.229 Th
-3.652 5.123 0.571 Th
-6.003 7.076 2.484 Nd
0.000 0.000 0.000 Nd
-6.011 5.104 -2.142 Nd
```

Values from the calculation:
Raw total energy ... -43.03 eV per cell
DFT formation energy ... 45.6 meV per atom
Magnetic moment ... 0.000 μB/cell
Energy above the lowest structure with this stoichiometry ... 0.06 eV/f.u.

---

[7]
First-principles (GGA-PBE) data for a relaxed Pm3Nd2Th crystal, as listed in Alexandria.

Cell and atoms, written as POSCAR:
```
Pm3Nd2Th
1.0
0.426 4.304 2.834
3.413 -3.636 9.727
7.919 1.877 0.676
Pm Nd Th
6 4 2
Cartesian
1.540 1.389 2.378 Pm
10.218 1.158 10.860 Pm
5.041 1.364 11.325 Pm
7.396 2.690 8.957 Pm
4.362 -0.143 4.280 Pm
6.717 1.182 1.913 Pm
1.912 2.110 5.943 Nd
9.845 0.436 7.294 Nd
4.392 3.442 3.548 Nd
7.366 -0.895 9.689 Nd
7.050 1.926 5.452 Th
4.708 0.621 7.786 Th
```

Values from the calculation:
Raw total energy ... -61.93 eV per cell
DFT formation energy ... 40.6 meV per atom
Magnetic moment ... 0.000 μB/cell
Energy above the lowest structure with this stoichiometry ... 0.00 eV/f.u.

---

[8]
First-principles (GGA-PBE) data for a relaxed Pm3Nd2Th crystal, as listed in Alexandria.

Cell and atoms, written as POSCAR:
```
Pm3Nd2Th
1.0
-0.567 -3.153 -1.364
5.217 0.734 -3.866
3.106 -2.622 9.216
Pm Th Nd
3 1 2
Cartesian
3.866 -2.728 4.699 Pm
3.889 -2.314 -0.713 Pm
0.000 0.000 0.000 Pm
2.608 0.367 -1.933 Th
1.827 -3.066 1.883 Nd
5.929 -1.976 2.102 Nd
```

Values from the calculation:
Raw total energy ... -29.05 eV per cell
DFT formation energy ... 359.0 meV per atom
Magnetic moment ... 0.000 μB/cell
Energy above the lowest structure with this stoichiometry ... 1.91 eV/f.u.

---

[9]
First-principles (GGA-PBE) data for a relaxed Pm2NdTh crystal, as listed in Alexandria.

Cell and atoms, written as POSCAR:
```
Pm2NdTh
1.0
3.651 -0.012 0.000
-1.814 3.169 0.000
0.000 0.000 11.816
Nd Th Pm
1 1 2
Cartesian
-1.088 2.746 5.908 Nd
2.563 0.622 0.000 Th
0.734 1.686 8.907 Pm
0.734 1.686 2.909 Pm
```

Values from the calculation:
Raw total energy ... -21.51 eV per cell
DFT formation energy ... 45.8 meV per atom
Magnetic moment ... 0.000 μB/cell
Energy above the lowest structure with this stoichiometry ... 0.10 eV/f.u.

---

[10]
First-principles (GGA-PBE) data for a relaxed PmNdTh crystal, as listed in Alexandria.

Cell and atoms, written as POSCAR:
```
PmNdTh
1.0
-0.497 3.018 -1.953
-0.359 -2.003 -3.005
-15.266 -0.933 2.447
Nd Pm Th
2 2 2
Cartesian
-5.825 0.516 -3.231 Nd
-2.820 0.166 -1.165 Nd
-8.077 -0.154 -0.326 Pm
-15.838 -0.095 -1.630 Pm
-12.926 -0.450 0.450 Th
-10.990 0.202 -2.407 Th
```

Values from the calculation:
Raw total energy ... -33.74 eV per cell
DFT formation energy ... 22.7 meV per atom
Magnetic moment ... 0.000 μB/cell
Energy above the lowest structure with this stoichiometry ... 0.00 eV/f.u.

---

[11]
First-principles (GGA-PBE) data for a relaxed PmNdTh2 crystal, as listed in Alexandria.

Cell and atoms, written as POSCAR:
```
PmNdTh2
1.0
-0.640 4.552 2.170
-4.827 0.122 -1.678
-2.496 -9.105 6.520
Th Pm Nd
4 2 2
Cartesian
-6.067 -6.201 5.325 Th
-1.895 1.770 1.688 Th
-3.972 -3.984 7.245 Th
-3.991 -0.447 -0.232 Th
-2.882 -5.137 4.024 Pm
-5.081 0.706 2.988 Pm
-2.348 -1.632 2.744 Nd
-5.614 -2.799 4.268 Nd
```

Values from the calculation:
Raw total energy ... -48.48 eV per cell
DFT formation energy ... 29.8 meV per atom
Magnetic moment ... 0.000 μB/cell
Energy above the lowest structure with this stoichiometry ... 0.00 eV/f.u.

---

[12]
First-principles (GGA-PBE) data for a relaxed Pm8Nd2Th crystal, as listed in Alexandria.

Cell and atoms, written as POSCAR:
```
Pm8Nd2Th
1.0
5.696 -0.746 -0.521
0.750 9.967 2.724
0.750 5.988 8.421
Nd Pm Th
2 8 1
Cartesian
4.669 3.928 2.744 Nd
2.526 11.280 7.880 Nd
5.050 10.401 5.238 Pm
2.145 6.711 2.660 Pm
2.145 4.807 5.386 Pm
2.116 8.574 5.989 Pm
5.079 6.634 4.634 Pm
5.050 8.497 7.964 Pm
1.537 2.736 1.911 Pm
5.658 12.472 8.712 Pm
0.000 0.000 0.000 Th
```

Values from the calculation:
Raw total energy ... -52.81 eV per cell
DFT formation energy ... 195.3 meV per atom
Magnetic moment ... 0.000 μB/cell
Energy above the lowest structure with this stoichiometry ... 1.85 eV/f.u.

---

[13]
First-principles (GGA-PBE) data for a relaxed Pm15Nd4Th crystal, as listed in Alexandria.

Cell and atoms, written as POSCAR:
```
Pm15Nd4Th
1.0
5.174 0.000 0.000
0.000 5.174 0.000
0.000 0.000 25.827
Pm Th Nd
15 1 4
Cartesian
0.000 2.587 23.315 Pm
2.587 0.000 7.724 Pm
2.587 0.000 23.315 Pm
2.587 2.587 5.157 Pm
2.587 0.000 2.511 Pm
0.000 2.587 2.511 Pm
2.587 0.000 12.913 Pm
2.587 2.587 20.670 Pm
2.587 2.587 15.503 Pm
2.587 2.587 10.324 Pm
2.587 0.000 18.102 Pm
2.587 2.587 0.000 Pm
0.000 2.587 18.102 Pm
0.000 2.587 7.724 Pm
0.000 2.587 12.913 Pm
0.000 0.000 0.000 Th
0.000 0.000 10.327 Nd
0.000 0.000 15.499 Nd
0.000 0.000 20.685 Nd
0.000 0.000 5.142 Nd
```

Values from the calculation:
Raw total energy ... -97.29 eV per cell
DFT formation energy ... 23.1 meV per atom
Magnetic moment ... 0.000 μB/cell

---

[14]
First-principles (GGA-PBE) data for a relaxed PmNd3Th crystal, as listed in Alexandria.

Cell and atoms, written as POSCAR:
```
PmNd3Th
1.0
-1.404 -0.518 6.957
-7.118 -3.350 -5.326
8.373 -2.263 1.522
Nd Pm Th
6 2 2
Cartesian
3.062 -2.803 2.215 Nd
-0.434 -3.327 3.304 Nd
0.285 -2.805 -0.151 Nd
-3.211 -3.329 0.938 Nd
-2.503 -3.068 -2.568 Nd
2.354 -3.064 5.721 Nd
-6.012 -3.488 -1.473 Pm
5.863 -2.644 4.626 Pm
-6.749 -3.680 2.003 Th
6.600 -2.452 1.150 Th
```

Values from the calculation:
Raw total energy ... -51.39 eV per cell
DFT formation energy ... 155.5 meV per atom
Magnetic moment ... 0.000 μB/cell

---

[15]
First-principles (GGA-PBE) data for a relaxed Pm2Nd5Th crystal, as listed in Alexandria.

Cell and atoms, written as POSCAR:
```
Pm2Nd5Th
1.0
-3.159 3.807 -1.604
-4.338 -1.175 5.758
7.712 9.680 7.785
Th Nd Pm
2 10 4
Cartesian
3.856 4.840 3.892 Th
-2.169 -0.587 2.879 Th
0.000 0.000 0.000 Nd
1.937 2.436 1.968 Nd
4.081 10.101 7.506 Nd
-0.061 7.037 8.393 Nd
1.687 4.253 6.772 Nd
3.635 6.692 8.724 Nd
-0.261 1.813 4.819 Nd
0.276 5.275 3.546 Nd
-3.866 2.211 4.434 Nd
1.438 6.069 11.575 Nd
-1.948 4.676 6.506 Pm
1.974 9.534 10.311 Pm
-1.759 2.778 1.629 Pm
2.163 7.636 5.433 Pm
```

Values from the calculation:
Raw total energy ... -81.00 eV per cell
DFT formation energy ... 32.4 meV per atom
Magnetic moment ... 0.000 μB/cell

---

[16]
First-principles (GGA-PBE) data for a relaxed PmNd12Th5 crystal, as listed in Alexandria.

Cell and atoms, written as POSCAR:
```
PmNd12Th5
1.0
15.560 0.000 -0.020
7.780 7.721 -0.010
0.009 0.000 5.146
Th Nd Pm
5 12 1
Cartesian
7.785 0.000 2.563 Th
15.560 5.138 -0.020 Th
15.565 2.590 2.553 Th
7.785 5.131 2.563 Th
7.780 2.583 -0.010 Th
10.274 5.126 5.133 Nd
5.295 5.126 -0.007 Nd
10.237 0.000 -0.013 Nd
18.032 5.159 2.549 Nd
18.054 2.595 5.123 Nd
13.075 2.595 -0.017 Nd
10.251 2.562 2.560 Nd
13.044 0.000 2.557 Nd
2.525 0.000 2.569 Nd
5.332 0.000 5.139 Nd
5.318 2.562 2.567 Nd
13.098 5.159 2.556 Nd
0.000 0.000 0.000 Pm
```

Values from the calculation:
Raw total energy ... -98.39 eV per cell
DFT formation energy ... 37.4 meV per atom
Magnetic moment ... 0.000 μB/cell

---

[17]
First-principles (GGA-PBE) data for a relaxed Pm8Nd3Th crystal, as listed in Alexandria.

Cell and atoms, written as POSCAR:
```
Pm8Nd3Th
1.0
8.452 -1.353 -2.273
-6.075 6.304 -1.340
1.258 1.353 8.662
Pm Nd Th
8 3 1
Cartesian
-4.211 5.091 1.161 Pm
5.633 0.548 -1.522 Pm
-1.999 5.756 6.571 Pm
7.843 1.219 3.892 Pm
3.035 1.213 0.722 Pm
3.209 4.402 2.163 Pm
0.603 5.085 4.322 Pm
0.426 1.902 2.886 Pm
6.044 2.475 1.388 Nd
0.053 4.280 -0.081 Nd
3.582 2.024 5.129 Nd
9.710 0.000 6.389 Th
```

Values from the calculation:
Raw total energy ... -55.91 eV per cell
DFT formation energy ... 318.1 meV per atom
Magnetic moment ... 0.000 μB/cell

---

[18]
First-principles (GGA-PBE) data for a relaxed Pm5Nd4Th crystal, as listed in Alexandria.

Cell and atoms, written as POSCAR:
```
Pm5Nd4Th
1.0
-0.699 -4.141 -0.884
2.450 0.336 -3.507
15.091 -4.703 10.094
Nd Th Pm
4 1 5
Cartesian
9.052 -2.821 6.055 Nd
12.136 -3.782 8.117 Nd
2.955 -0.921 1.976 Nd
6.039 -1.882 4.039 Nd
0.000 0.000 0.000 Th
11.439 -5.194 4.870 Pm
5.403 -3.313 0.832 Pm
14.533 -6.158 6.939 Pm
2.310 -2.349 -1.237 Pm
8.421 -4.254 2.851 Pm
```

Values from the calculation:
Raw total energy ... -49.06 eV per cell
DFT formation energy ... 118.4 meV per atom
Magnetic moment ... 0.000 μB/cell
Energy above the lowest structure with this stoichiometry ... 0.94 eV/f.u.

---

[19]
First-principles (GGA-PBE) data for a relaxed Pm12Nd6Th crystal, as listed in Alexandria.

Cell and atoms, written as POSCAR:
```
Pm12Nd6Th
1.0
8.754 0.335 -1.534
-1.881 8.556 -1.534
0.259 0.335 8.883
Pm Nd Th
12 6 1
Cartesian
-1.318 6.399 1.198 Pm
1.168 6.735 7.348 Pm
5.964 2.491 -1.532 Pm
2.486 0.337 6.150 Pm
8.450 2.826 4.618 Pm
3.066 3.965 6.099 Pm
4.955 1.848 4.040 Pm
0.541 5.260 4.041 Pm
2.177 7.377 1.776 Pm
4.066 5.261 -0.283 Pm
6.591 3.965 1.775 Pm
4.645 8.889 -0.335 Pm
3.316 1.380 0.408 Nd
1.067 1.380 3.167 Nd
6.631 5.669 5.408 Nd
0.500 3.557 0.408 Nd
6.065 7.845 2.649 Nd
3.815 7.846 5.408 Nd
0.000 0.000 0.000 Th
```

Values from the calculation:
Raw total energy ... -90.75 eV per cell
DFT formation energy ... 120.1 meV per atom
Magnetic moment ... 0.000 μB/cell

---

[20]
First-principles (GGA-PBE) data for a relaxed Pm4NdTh crystal, as listed in Alexandria.

Cell and atoms, written as POSCAR:
```
Pm4NdTh
1.0
-4.810 -3.593 -2.699
0.195 0.911 6.516
-6.171 9.075 -1.084
Nd Th Pm
2 2 8
Cartesian
-5.292 6.944 4.123 Nd
-5.494 -0.552 -1.389 Nd
0.000 0.000 0.000 Th
-3.086 4.537 -0.542 Th
-6.610 3.016 -0.231 Pm
-8.923 6.418 -0.637 Pm
-1.863 -0.026 3.371 Pm
-7.643 5.188 2.804 Pm
-3.143 1.204 -0.070 Pm
-4.176 3.376 2.965 Pm
-5.399 -0.107 1.796 Pm
-5.387 6.499 0.938 Pm
```

Values from the calculation:
Raw total energy ... -59.44 eV per cell
DFT formation energy ... 244.7 meV per atom
Magnetic moment ... 0.001 μB/cell
Energy above the lowest structure with this stoichiometry ... 1.27 eV/f.u.

---

[21]
First-principles (GGA-PBE) data for a relaxed Pm7Nd12Th crystal, as listed in Alexandria.

Cell and atoms, written as POSCAR:
```
Pm7Nd12Th
1.0
-0.095 9.606 3.034
0.744 -0.343 -10.041
-8.527 -4.519 2.892
Nd Pm Th
12 7 1
Cartesian
-3.919 4.700 -3.806 Nd
-6.376 6.080 2.806 Nd
-6.499 -1.105 2.912 Nd
-3.958 0.044 -0.308 Nd
-1.502 -1.336 -6.921 Nd
-5.944 1.285 -3.867 Nd
-1.934 3.459 -0.248 Nd
0.091 7.205 -0.123 Nd
-6.164 3.667 -0.698 Nd
-1.713 1.077 -3.416 Nd
-7.968 -2.461 -3.992 Nd
-1.379 5.849 -7.027 Nd
-4.263 -2.260 1.446 Pm
-3.891 -2.431 -3.574 Pm
-0.047 4.803 1.517 Pm
-3.939 2.372 -2.057 Pm
0.372 -0.172 -5.020 Pm
-4.311 2.543 2.963 Pm
0.325 4.631 -3.503 Pm
0.000 0.000 0.000 Th
```

Values from the calculation:
Raw total energy ... -85.01 eV per cell
DFT formation energy ... 643.8 meV per atom
Magnetic moment ... 0.004 μB/cell
Energy above the lowest structure with this stoichiometry ... 11.15 eV/f.u.

---

[22]
First-principles (GGA-PBE) data for a relaxed Pm9Nd2Th crystal, as listed in Alexandria.

Cell and atoms, written as POSCAR:
```
Pm9Nd2Th
1.0
-5.021 -1.105 0.417
0.892 -4.741 -1.824
2.322 -5.112 14.420
Th Pm Nd
1 9 2
Cartesian
0.000 0.000 0.000 Th
-0.566 -4.833 12.282 Pm
0.824 -3.202 1.434 Pm
-1.349 -3.109 7.418 Pm
-2.132 -1.384 2.555 Pm
2.390 -6.651 11.161 Pm
-2.064 -2.923 -0.704 Pm
1.607 -4.927 6.298 Pm
-1.290 -4.627 4.104 Pm
-0.517 -6.331 8.909 Pm
1.550 -3.413 9.627 Nd
0.772 -1.699 4.793 Nd
```

Values from the calculation:
Raw total energy ... -59.41 eV per cell
DFT formation energy ... 25.4 meV per atom
Magnetic moment ... 0.000 μB/cell

---

We obtain N(E_F) values of 11.05 5.53 14.30 17.67 11.02 12.00 18.65 9.39 5.34 8.42 13.72 18.01 29.59 13.47 23.40 25.82 18.54 22.59 26.64 25.41 30.38 17.99 states/eV/cell for the records listed above, in that order.